DFT (PBE-GGA) results for Ta4Mn3Cr after structural relaxation.

Structure (POSCAR):
```
Ta4Mn3Cr
1.0
3.0696 0.0000 0.0000
0.0000 3.0696 0.0000
0.0000 0.0000 12.3105
Ta Mn Cr
4 3 1
direct
0.0000 0.0000 0.1245
0.0000 0.0000 0.3737
0.0000 0.0000 0.6263
0.0000 0.0000 0.8755
0.5000 0.5000 0.0000
0.5000 0.5000 0.2477
0.5000 0.5000 0.7523
0.5000 0.5000 0.5000
```

## Properties
crystal system: tetragonal
energy relative to the elements: -1.57 eV per formula unit

DFT (PBE-GGA) results for NaNbHg after structural relaxation.

Structure (POSCAR):
```
NaNbHg
1.0
-3.2915 4.2052 2.4807
3.2915 -4.2052 2.4807
3.2915 4.2052 -2.4807
Na Nb Hg
2 2 2
direct
0.1393 0.2500 0.3893
0.8607 0.7500 0.6107
0.0117 0.5387 0.9730
0.5657 0.0387 0.0270
0.4724 0.4724 0.0000
0.4724 0.9724 0.5000
```

## Properties
crystal system: orthorhombic
relative energy among the computed polymorphs: 236 meV/atom
energy relative to the elements: 1.01 eV per formula unit

DFT (PBE-GGA) results for CuSi5 after structural relaxation.

Structure (POSCAR):
```
CuSi5
1.0
4.8716 0.0000 0.0000
-2.4358 4.2189 0.0000
0.0000 0.0000 4.5821
Cu Si
1 5
direct
0.0000 0.0000 0.0000
0.0000 0.5000 0.5000
0.3333 0.6667 0.0000
0.5000 0.0000 0.5000
0.5000 0.5000 0.5000
0.6667 0.3333 0.0000
```

## Properties
crystal system: hexagonal
relative energy among the computed polymorphs: 293 meV/atom

DFT (PBE-GGA) results for Sm2InSi2Ir5 after structural relaxation.

Structure (POSCAR):
```
Sm2InSi2Ir5
1.0
9.8876 0.0000 0.0000
0.0000 9.8876 0.0000
0.0000 0.0000 3.5830
Sm In Si Ir
4 2 4 10
direct
0.1768 0.3232 0.0000
0.3232 0.8232 0.0000
0.6768 0.1768 0.0000
0.8232 0.6768 0.0000
0.0000 0.0000 0.0000
0.5000 0.5000 0.0000
0.1215 0.6215 0.0000
0.3785 0.1215 0.0000
0.6215 0.8785 0.0000
0.8785 0.3785 0.0000
0.0000 0.5000 0.5000
0.0675 0.7807 0.5000
0.2193 0.0675 0.5000
0.2807 0.5675 0.5000
0.4325 0.2807 0.5000
0.5000 0.0000 0.5000
0.5675 0.7193 0.5000
0.7193 0.4325 0.5000
0.7807 0.9325 0.5000
0.9325 0.2193 0.5000
```

## Properties
crystal system: tetragonal
electronic total energy: -7.47 eV/atom

DFT (PBE-GGA) results for Ac2RuPbO6 after structural relaxation.

Structure (POSCAR):
```
Ac2RuPbO6
1.0
5.8241 0.0000 0.0000
0.0000 5.8241 0.0000
0.0000 0.0000 5.2844
Ac Ru Pb O
2 1 1 6
direct
0.0000 0.5000 0.0000
0.5000 0.0000 0.0000
0.0000 0.0000 0.6118
0.5000 0.5000 0.5503
0.0000 0.0000 0.2530
0.2309 0.2309 0.7360
0.2309 0.7691 0.7360
0.5000 0.5000 0.1069
0.7691 0.2309 0.7360
0.7691 0.7691 0.7360
```

## Properties
crystal system: tetragonal
electronic total energy: -7.03 eV/atom

DFT (PBE-GGA) results for ErCdPd5 after structural relaxation.

Structure (POSCAR):
```
ErCdPd5
1.0
-3.6703 4.4677 2.6257
3.6703 -4.4677 2.6257
3.6703 4.4677 -2.6257
Er Cd Pd
1 1 5
direct
0.0000 0.0000 0.0000
0.8024 0.3024 0.5000
0.3115 0.6268 0.3153
0.3115 0.9962 0.6847
0.4140 0.6788 0.7352
0.5053 0.5053 0.0000
0.9436 0.6788 0.2648
```

## Properties
crystal system: orthorhombic
relative energy among the computed polymorphs: 519 meV/atom
energy relative to the elements: 1.13 eV per formula unit

DFT (PBE-GGA) results for PuThGa2 after structural relaxation.

Structure (POSCAR):
```
PuThGa2
1.0
0.0000 3.6334 3.6334
3.6334 0.0000 3.6334
3.6334 3.6334 0.0000
Pu Th Ga
1 1 2
direct
0.0000 0.0000 0.0000
0.5000 0.5000 0.5000
0.2500 0.2500 0.2500
0.7500 0.7500 0.7500
```

## Properties
crystal system: cubic
relative energy among the computed polymorphs: 19 meV/atom
energy relative to the elements: -1.31 eV per formula unit

DFT (PBE-GGA) results for USb2Ir after structural relaxation.

Structure (POSCAR):
```
USb2Ir
1.0
1.6085 0.9287 10.2718
-1.6085 0.9287 10.2718
0.0000 -1.8573 10.2718
U Sb Ir
1 2 1
direct
0.0000 0.0000 0.0000
0.1012 0.1012 0.1012
0.8988 0.8988 0.8988
0.5000 0.5000 0.5000
```

## Properties
crystal system: trigonal
electronic total energy: -6.81 eV/atom

DFT (PBE-GGA) results for B5Pt8Au after structural relaxation.

Structure (POSCAR):
```
B5Pt8Au
1.0
8.7309 -1.7038 0.0000
8.7309 1.7038 0.0000
-1.9178 0.0000 6.2509
B Pt Au
5 8 1
direct
0.0000 0.0000 0.0000
0.2997 0.2997 0.6576
0.3417 0.3417 0.0448
0.6583 0.6583 0.9552
0.7003 0.7003 0.3424
0.0884 0.0884 0.8266
0.1684 0.1684 0.5047
0.2387 0.2387 0.1624
0.4271 0.4271 0.8298
0.5729 0.5729 0.1702
0.7613 0.7613 0.8376
0.8316 0.8316 0.4953
0.9116 0.9116 0.1734
0.5000 0.5000 0.5000
```

## Properties
crystal system: monoclinic
energy relative to the elements: -1.98 eV per formula unit

DFT (PBE-GGA) results for BW2Se after structural relaxation.

Structure (POSCAR):
```
BW2Se
1.0
-2.3267 2.3267 6.4841
2.3267 -2.3267 6.4841
2.3267 2.3267 -6.4841
B W Se
2 4 2
direct
0.0000 0.0000 0.0000
0.7500 0.2500 0.5000
0.0362 0.6250 0.9112
0.3750 0.2862 0.4112
0.7138 0.1250 0.0888
0.8750 0.9638 0.5888
0.2500 0.7500 0.5000
0.5000 0.5000 0.0000
```

## Properties
crystal system: tetragonal
relative energy among the computed polymorphs: 914 meV/atom

DFT (PBE-GGA) results for BeCdPt3 after structural relaxation.

Structure (POSCAR):
```
BeCdPt3
1.0
3.9753 0.0000 0.0000
0.0000 3.9753 0.0000
0.0000 0.0000 6.5248
Be Cd Pt
1 1 3
direct
0.0000 0.0000 0.0000
0.5000 0.5000 0.8413
0.0000 0.5000 0.1602
0.5000 0.0000 0.1602
0.5000 0.5000 0.4394
```

## Properties
crystal system: tetragonal
relative energy among the computed polymorphs: 569 meV/atom
energy relative to the elements: 0.65 eV per formula unit

DFT (PBE-GGA) results for BaTlIn2Ir after structural relaxation.

Structure (POSCAR):
```
BaTlIn2Ir
1.0
5.2497 0.0000 0.0000
0.0000 5.2497 0.0000
0.0000 0.0000 5.9956
Ba Tl In Ir
1 1 2 1
direct
0.0000 0.0000 0.0000
0.5000 0.5000 0.0000
0.0000 0.5000 0.5000
0.5000 0.0000 0.5000
0.0000 0.0000 0.5000
```

## Properties
crystal system: tetragonal
relative energy among the computed polymorphs: 72 meV/atom
energy relative to the elements: -0.77 eV per formula unit

DFT (PBE-GGA) results for TbTh4Sb5 after structural relaxation.

Structure (POSCAR):
```
TbTh4Sb5
1.0
-2.2460 2.2460 15.8486
2.2460 -2.2460 15.8486
2.2460 2.2460 -15.8486
Tb Th Sb
1 4 5
direct
0.0000 0.0000 0.0000
0.1994 0.1994 0.0000
0.4003 0.4003 0.0000
0.5997 0.5997 0.0000
0.8006 0.8006 0.0000
0.0981 0.0981 0.0000
0.2999 0.2999 0.0000
0.5000 0.5000 0.0000
0.7001 0.7001 0.0000
0.9019 0.9019 0.0000
```

## Properties
crystal system: tetragonal
electronic total energy: -6.45 eV/atom

DFT (PBE-GGA) results for Rb6Co3Br14 after structural relaxation.

Structure (POSCAR):
```
Rb6Co3Br14
1.0
12.2178 0.0000 0.0000
-6.1089 10.5809 0.0000
0.0000 0.0000 6.9428
Rb Co Br
6 3 14
direct
0.0364 0.5730 0.0000
0.2997 0.0954 0.5241
0.4270 0.4634 0.0000
0.5366 0.9636 0.0000
0.7957 0.7003 0.5241
0.9046 0.2043 0.5241
0.0000 0.0000 0.9490
0.3333 0.6667 0.4328
0.6667 0.3333 0.7720
0.0000 0.0000 0.2904
0.0738 0.8663 0.8304
0.1337 0.2075 0.8304
0.1938 0.4596 0.3151
0.2658 0.8062 0.3151
0.3333 0.6667 0.7740
0.4789 0.2106 0.9719
0.5404 0.7342 0.3151
0.5447 0.3993 0.5705
0.6007 0.1455 0.5705
0.7317 0.5211 0.9719
0.7894 0.2683 0.9719
0.7925 0.9262 0.8304
0.8545 0.4553 0.5705
```

## Properties
crystal system: trigonal
electronic total energy: -3.27 eV/atom

DFT (PBE-GGA) results for LaOs2I after structural relaxation.

Structure (POSCAR):
```
LaOs2I
1.0
0.0000 3.4749 3.4749
3.4749 0.0000 3.4749
3.4749 3.4749 0.0000
La Os I
1 2 1
direct
0.0000 0.0000 0.0000
0.2500 0.2500 0.2500
0.7500 0.7500 0.7500
0.5000 0.5000 0.5000
```

## Properties
crystal system: cubic
relative energy among the computed polymorphs: 271 meV/atom

DFT (PBE-GGA) results for BePt2Se after structural relaxation.

Structure (POSCAR):
```
BePt2Se
1.0
3.4835 0.0000 0.0000
0.0000 4.2815 0.0000
-0.0430 0.0000 4.1953
Be Pt Se
1 2 1
direct
0.0000 0.0000 0.0000
0.4902 0.0000 0.6086
0.9940 0.5000 0.8082
0.4976 0.5000 0.2811
```

## Properties
crystal system: monoclinic
relative energy among the computed polymorphs: 146 meV/atom

DFT (PBE-GGA) results for BeSbAu after structural relaxation.

Structure (POSCAR):
```
BeSbAu
1.0
3.0474 0.0000 0.0000
-0.0006 3.1033 0.0000
-0.0098 -0.0617 11.9749
Be Sb Au
2 2 2
direct
0.0000 0.0000 0.0000
0.4993 0.4953 0.8955
0.9958 0.4922 0.5881
0.9984 0.5082 0.3099
0.4998 0.5008 0.0947
0.9986 0.9931 0.8007
```

## Properties
crystal system: triclinic
electronic total energy: -3.76 eV/atom

DFT (PBE-GGA) results for YNbBr after structural relaxation.

Structure (POSCAR):
```
YNbBr
1.0
4.1280 -1.8711 0.0000
4.1280 1.8711 0.0000
-3.1361 0.0000 11.6341
Y Nb Br
2 2 2
direct
0.0459 0.0459 0.2065
0.9541 0.9541 0.7935
0.3562 0.3562 0.9934
0.6438 0.6438 0.0066
0.2026 0.2026 0.6471
0.7974 0.7974 0.3529
```

## Properties
crystal system: monoclinic
relative energy among the computed polymorphs: 113 meV/atom

DFT (PBE-GGA) results for Y2FeTc after structural relaxation.

Structure (POSCAR):
```
Y2FeTc
1.0
1.6865 0.9737 8.6219
-1.6865 0.9737 8.6219
0.0000 -1.9475 8.6219
Y Fe Tc
2 1 1
direct
0.2478 0.2478 0.2478
0.7522 0.7522 0.7522
0.0000 0.0000 0.0000
0.5000 0.5000 0.5000
```

## Properties
crystal system: trigonal
energy relative to the elements: 1.87 eV per formula unit

DFT (PBE-GGA) results for Be2TeRu after structural relaxation.

Structure (POSCAR):
```
Be2TeRu
1.0
-1.8690 1.8690 3.9014
1.8690 -1.8690 3.9014
1.8690 1.8690 -3.9014
Be Te Ru
2 1 1
direct
0.0000 0.0000 0.0000
0.7500 0.2500 0.5000
0.5000 0.5000 0.0000
0.2500 0.7500 0.5000
```

## Properties
crystal system: tetragonal
electronic total energy: -4.64 eV/atom